## Co2CuSe (PBE)

Data for an optimized crystal structure of Co2CuSe.

Values from the calculation:
Space-group type   Cm (8)
Magnetization   2.6 μB per formula unit
Formation energy from raw total energies   0.282 eV/atom

Cell lengths 4.595, 4.595, 4.098 Å; angles 72.31, 72.31, 38.39 degrees
Fractional coordinates of all 4 atoms:
Co (0.995, 0.995, 0.052)
Co (0.750, 0.750, 0.700)
Cu (0.498, 0.498, 0.553)
Se (0.258, 0.258, 0.194)